No. 1
# GGA-PBE Ba2AsIrC, relaxed
# * E: -23.58 eV/cell
# * space-group type: No. 123
# * D(E_F): 0.3137 states/eV/atom
data_Ba2AsIrC
_chemical_formula_sum 'Ba2 As1 Ir1 C1'
_space_group_name_H-M_alt 'P 1'
_space_group_IT_number 1
_space_group_name_Hall 'P 1'
_cell_length_a 6.130
_cell_length_b 6.130
_cell_length_c 4.598
_cell_angle_alpha 90.00
_cell_angle_beta 90.00
_cell_angle_gamma 90.00
loop_
_atom_site_label
_atom_site_type_symbol
_atom_site_fract_x
_atom_site_fract_y
_atom_site_fract_z
_atom_site_occupancy
Ba1 Ba 0.000 0.500 0.000 1
Ba2 Ba 0.500 0.000 0.000 1
As1 As 0.000 0.000 0.500 1
Ir1 Ir 0.000 0.000 0.000 1
C1 C 0.500 0.500 0.500 1

No. 2
# GGA-PBE K2YNi, relaxed
# * space-group type: No. 8
# * D(E_F): 0.7741 states/eV/atom
# * energy relative to the lowest polymorph listed for this composition: 0.065 eV per atom
data_K2YNi
_chemical_formula_sum 'K2 Y1 Ni1'
_space_group_name_H-M_alt 'P 1'
_space_group_IT_number 1
_space_group_name_Hall 'P 1'
_cell_length_a 4.019
_cell_length_b 4.019
_cell_length_c 11.746
_cell_angle_alpha 100.84
_cell_angle_beta 100.84
_cell_angle_gamma 60.66
loop_
_atom_site_label
_atom_site_type_symbol
_atom_site_fract_x
_atom_site_fract_y
_atom_site_fract_z
_atom_site_occupancy
K1 K 0.000 0.000 0.000 1
K2 K 0.214 0.214 0.632 1
Y1 Y 0.443 0.443 0.312 1
Ni1 Ni 0.736 0.736 0.197 1

No. 3
# GGA-PBE Ho3Be2Fe7, relaxed
# * E: -82.11 eV/cell
# * space-group type: No. 166
# * D(E_F): 0.7456 states/eV/atom
data_Ho3Be2Fe7
_chemical_formula_sum 'Ho3 Be2 Fe7'
_space_group_name_H-M_alt 'P 1'
_space_group_IT_number 1
_space_group_name_Hall 'P 1'
_cell_length_a 8.265
_cell_length_b 8.265
_cell_length_c 8.265
_cell_angle_alpha 35.64
_cell_angle_beta 35.64
_cell_angle_gamma 35.64
loop_
_atom_site_label
_atom_site_type_symbol
_atom_site_fract_x
_atom_site_fract_y
_atom_site_fract_z
_atom_site_occupancy
Ho1 Ho 0.000 0.000 0.000 1
Ho2 Ho 0.141 0.141 0.141 1
Ho3 Ho 0.859 0.859 0.859 1
Be1 Be 0.333 0.333 0.333 1
Be2 Be 0.667 0.667 0.667 1
Fe1 Fe 0.077 0.577 0.577 1
Fe2 Fe 0.423 0.423 0.923 1
Fe3 Fe 0.423 0.923 0.423 1
Fe4 Fe 0.500 0.500 0.500 1
Fe5 Fe 0.577 0.077 0.577 1
Fe6 Fe 0.577 0.577 0.077 1
Fe7 Fe 0.923 0.423 0.423 1

No. 4
# GGA-PBE KCr2Mo, relaxed
# * space-group type: No. 166
# * D(E_F): 1.1350 states/eV/atom
# * energy relative to the lowest polymorph listed for this composition: 0.232 eV per atom
data_KCr2Mo
_chemical_formula_sum 'K1 Cr2 Mo1'
_space_group_name_H-M_alt 'P 1'
_space_group_IT_number 1
_space_group_name_Hall 'P 1'
_cell_length_a 10.013
_cell_length_b 10.013
_cell_length_c 10.013
_cell_angle_alpha 17.70
_cell_angle_beta 17.70
_cell_angle_gamma 17.70
loop_
_atom_site_label
_atom_site_type_symbol
_atom_site_fract_x
_atom_site_fract_y
_atom_site_fract_z
_atom_site_occupancy
K1 K 0.000 0.000 0.000 1
Cr1 Cr 0.229 0.229 0.229 1
Cr2 Cr 0.771 0.771 0.771 1
Mo1 Mo 0.500 0.500 0.500 1

No. 5
# GGA-PBE SmTm3Ag4, relaxed
# * E: -32.09 eV/cell
# * space-group type: No. 47
# * D(E_F): 0.5326 states/eV/atom
data_SmTm3Ag4
_chemical_formula_sum 'Sm1 Tm3 Ag4'
_space_group_name_H-M_alt 'P 1'
_space_group_IT_number 1
_space_group_name_Hall 'P 1'
_cell_length_a 3.578
_cell_length_b 5.154
_cell_length_c 10.291
_cell_angle_alpha 90.00
_cell_angle_beta 90.00
_cell_angle_gamma 90.00
loop_
_atom_site_label
_atom_site_type_symbol
_atom_site_fract_x
_atom_site_fract_y
_atom_site_fract_z
_atom_site_occupancy
Sm1 Sm 0.000 0.000 0.000 1
Tm1 Tm 0.000 0.000 0.500 1
Tm2 Tm 0.000 0.500 0.252 1
Tm3 Tm 0.000 0.500 0.748 1
Ag1 Ag 0.500 0.000 0.259 1
Ag2 Ag 0.500 0.000 0.741 1
Ag3 Ag 0.500 0.500 0.000 1
Ag4 Ag 0.500 0.500 0.500 1

No. 6
# GGA-PBE V6Rh12Au, relaxed
# * E: -148.45 eV/cell
# * space-group type: No. 166
# * D(E_F): 0.6422 states/eV/atom
data_V6Rh12Au
_chemical_formula_sum 'V6 Rh12 Au1'
_space_group_name_H-M_alt 'P 1'
_space_group_IT_number 1
_space_group_name_Hall 'P 1'
_cell_length_a 7.161
_cell_length_b 7.161
_cell_length_c 7.161
_cell_angle_alpha 108.21
_cell_angle_beta 108.21
_cell_angle_gamma 108.21
loop_
_atom_site_label
_atom_site_type_symbol
_atom_site_fract_x
_atom_site_fract_y
_atom_site_fract_z
_atom_site_occupancy
V1 V 0.249 0.697 0.697 1
V2 V 0.303 0.303 0.751 1
V3 V 0.303 0.751 0.303 1
V4 V 0.697 0.249 0.697 1
V5 V 0.697 0.697 0.249 1
V6 V 0.751 0.303 0.303 1
Rh1 Rh 0.115 0.500 0.885 1
Rh2 Rh 0.115 0.885 0.500 1
Rh3 Rh 0.159 0.391 0.391 1
Rh4 Rh 0.391 0.159 0.391 1
Rh5 Rh 0.391 0.391 0.159 1
Rh6 Rh 0.500 0.115 0.885 1
Rh7 Rh 0.500 0.885 0.115 1
Rh8 Rh 0.609 0.609 0.841 1
Rh9 Rh 0.609 0.841 0.609 1
Rh10 Rh 0.841 0.609 0.609 1
Rh11 Rh 0.885 0.115 0.500 1
Rh12 Rh 0.885 0.500 0.115 1
Au1 Au 0.000 0.000 0.000 1

No. 7
# GGA-PBE Y2MnPb, relaxed
# * E: -26.46 eV/cell
# * space-group type: No. 38
# * D(E_F): 0.8755 states/eV/atom
data_Y2MnPb
_chemical_formula_sum 'Y2 Mn1 Pb1'
_space_group_name_H-M_alt 'P 1'
_space_group_IT_number 1
_space_group_name_Hall 'P 1'
_cell_length_a 4.632
_cell_length_b 6.159
_cell_length_c 6.159
_cell_angle_alpha 36.60
_cell_angle_beta 90.00
_cell_angle_gamma 90.00
loop_
_atom_site_label
_atom_site_type_symbol
_atom_site_fract_x
_atom_site_fract_y
_atom_site_fract_z
_atom_site_occupancy
Y1 Y 0.000 0.000 0.000 1
Y2 Y 0.500 0.304 0.304 1
Mn1 Mn 0.500 0.573 0.573 1
Pb1 Pb 0.000 0.721 0.721 1

No. 8
# GGA-PBE CaBeAs2, relaxed
# * E: -15.24 eV/cell
# * space-group type: No. 119
# * D(E_F): 0.3913 states/eV/atom
data_CaBeAs2
_chemical_formula_sum 'Ca1 Be1 As2'
_space_group_name_H-M_alt 'P 1'
_space_group_IT_number 1
_space_group_name_Hall 'P 1'
_cell_length_a 5.486
_cell_length_b 5.486
_cell_length_c 5.486
_cell_angle_alpha 137.30
_cell_angle_beta 137.30
_cell_angle_gamma 61.98
loop_
_atom_site_label
_atom_site_type_symbol
_atom_site_fract_x
_atom_site_fract_y
_atom_site_fract_z
_atom_site_occupancy
Ca1 Ca 0.000 0.000 0.000 1
Be1 Be 0.750 0.250 0.500 1
As1 As 0.250 0.750 0.500 1
As2 As 0.500 0.500 0.000 1

No. 9
# GGA-PBE NdTh2Co2, relaxed
# * E: -34.45 eV/cell
# * space-group type: No. 12
# * D(E_F): 1.1306 states/eV/atom
data_NdTh2Co2
_chemical_formula_sum 'Nd1 Th2 Co2'
_space_group_name_H-M_alt 'P 1'
_space_group_IT_number 1
_space_group_name_Hall 'P 1'
_cell_length_a 6.234
_cell_length_b 6.234
_cell_length_c 5.378
_cell_angle_alpha 106.83
_cell_angle_beta 106.83
_cell_angle_gamma 37.85
loop_
_atom_site_label
_atom_site_type_symbol
_atom_site_fract_x
_atom_site_fract_y
_atom_site_fract_z
_atom_site_occupancy
Nd1 Nd 0.000 0.000 0.000 1
Th1 Th 0.344 0.344 0.385 1
Th2 Th 0.656 0.656 0.615 1
Co1 Co 0.288 0.288 0.857 1
Co2 Co 0.712 0.712 0.143 1

No. 10
# GGA-PBE SmMg7Sn4, relaxed
# * E: -31.70 eV/cell
# * space-group type: No. 12
# * D(E_F): 0.4897 states/eV/atom
data_SmMg7Sn4
_chemical_formula_sum 'Sm1 Mg7 Sn4'
_space_group_name_H-M_alt 'P 1'
_space_group_IT_number 1
_space_group_name_Hall 'P 1'
_cell_length_a 6.961
_cell_length_b 6.961
_cell_length_c 10.623
_cell_angle_alpha 122.02
_cell_angle_beta 122.02
_cell_angle_gamma 48.67
loop_
_atom_site_label
_atom_site_type_symbol
_atom_site_fract_x
_atom_site_fract_y
_atom_site_fract_z
_atom_site_occupancy
Sm1 Sm 0.000 0.000 0.000 1
Mg1 Mg 0.080 0.080 0.415 1
Mg2 Mg 0.297 0.297 0.360 1
Mg3 Mg 0.314 0.314 0.097 1
Mg4 Mg 0.500 0.500 0.000 1
Mg5 Mg 0.686 0.686 0.903 1
Mg6 Mg 0.703 0.703 0.640 1
Mg7 Mg 0.920 0.920 0.585 1
Sn1 Sn 0.209 0.209 0.772 1
Sn2 Sn 0.404 0.404 0.683 1
Sn3 Sn 0.596 0.596 0.317 1
Sn4 Sn 0.791 0.791 0.228 1

No. 11
# GGA-PBE BaCuC2, relaxed
# * space-group type: No. 141
# * D(E_F): 0.5313 states/eV/atom
# * energy relative to the lowest polymorph listed for this composition: 0.000 eV per atom
data_BaCuC2
_chemical_formula_sum 'Ba2 Cu2 C4'
_space_group_name_H-M_alt 'P 1'
_space_group_IT_number 1
_space_group_name_Hall 'P 1'
_cell_length_a 7.243
_cell_length_b 7.243
_cell_length_c 7.243
_cell_angle_alpha 143.79
_cell_angle_beta 143.79
_cell_angle_gamma 52.15
loop_
_atom_site_label
_atom_site_type_symbol
_atom_site_fract_x
_atom_site_fract_y
_atom_site_fract_z
_atom_site_occupancy
Ba1 Ba 0.375 0.625 0.750 1
Ba2 Ba 0.625 0.375 0.250 1
Cu1 Cu 0.125 0.875 0.250 1
Cu2 Cu 0.875 0.125 0.750 1
C1 C 0.000 0.000 0.000 1
C2 C 0.000 0.000 0.500 1
C3 C 0.000 0.500 0.000 1
C4 C 0.500 0.000 0.500 1

No. 12
# GGA-PBE Ho2ErPaP4, relaxed
# * E: -57.22 eV/cell
# * space-group type: No. 10
# * D(E_F): 0.5751 states/eV/atom
data_Ho2ErPaP4
_chemical_formula_sum 'Ho2 Er1 Pa1 P4'
_space_group_name_H-M_alt 'P 1'
_space_group_IT_number 1
_space_group_name_Hall 'P 1'
_cell_length_a 6.869
_cell_length_b 3.979
_cell_length_c 6.874
_cell_angle_alpha 90.00
_cell_angle_beta 109.49
_cell_angle_gamma 90.00
loop_
_atom_site_label
_atom_site_type_symbol
_atom_site_fract_x
_atom_site_fract_y
_atom_site_fract_z
_atom_site_occupancy
Ho1 Ho 0.000 0.000 0.000 1
Ho2 Ho 0.500 0.500 0.000 1
Er1 Er 0.000 0.500 0.500 1
Pa1 Pa 0.500 0.000 0.500 1
P1 P 0.252 0.000 0.747 1
P2 P 0.252 0.500 0.253 1
P3 P 0.748 0.000 0.253 1
P4 P 0.748 0.500 0.747 1